# NaCu2GeI (SCAN, single point on PBEsol structure)
# total magnetization	0.00	μB per formula unit
# energy relative to the elements, uncorrected	0.913	eV/atom
# total DFT energy (no corrections)	-17.18	eV per atom
# N(E_F)	4.3	states/eV/cell
data_NaCu2GeI
_cell_length_a 4.891
_cell_length_b 4.891
_cell_length_c 5.446
_cell_angle_alpha 90.00
_cell_angle_beta 90.00
_cell_angle_gamma 90.00
_symmetry_space_group_name_H-M 'P 4/m m m'
_symmetry_Int_Tables_number 123
_symmetry_space_group_name_Hall '-P 4 2'
loop_
_atom_site_label
_atom_site_type_symbol
_atom_site_fract_x
_atom_site_fract_y
_atom_site_fract_z
Na1 Na 0.000 0.000 0.000
Cu1 Cu 0.000 0.500 0.500
Ge1 Ge 0.500 0.500 0.000
I1 I 0.000 0.000 0.500